A relaxed La2Tb2Nd4Sm crystal. Source: the Alexandria database, functional PBE.

Cell: 3.701 9.765 9.813 Å, 115.25 90.00 100.92°
Positions (direct):
Nd1 0.519 0.037 0.336
La1 0.334 0.667 0.002
Tb1 0.148 0.296 0.666
Nd2 0.481 0.963 0.664
Tb2 0.852 0.704 0.334
Sm1 0.000 0.000 0.000
La2 0.666 0.333 0.998
Nd3 0.814 0.628 0.666
Nd4 0.186 0.372 0.334

Output
As for the space group: No. 12. The calculation puts the calculated density at 7.00 g/cm³. Its total energy is -42.855 eV per cell. Its formation energy is 4.9 kJ/mol of formula units. For the volume, the calculation gives 34.85 A^3/atom.